Here is NaZr2Ni2 after structural relaxation from the Alexandria database. Energies are from GGA-PBE.

Cell: 7.6231 7.6231 3.1410 Å, 90.00 90.00 90.00°
Element x y z (fractional)
Na1 0.0000 0.0000 0.0000
Na2 0.5000 0.5000 0.0000
Zr1 0.1575 0.3425 0.5000
Zr2 0.3425 0.8425 0.5000
Zr3 0.6575 0.1575 0.5000
Zr4 0.8425 0.6575 0.5000
Ni1 0.1256 0.6256 0.0000
Ni2 0.3744 0.1256 0.0000
Ni3 0.6256 0.8744 0.0000
Ni4 0.8744 0.3744 0.0000

Values from the calculation:
energy	-6.08	eV/atom
formation enthalpy at 0 K	-84.8	meV/atom
size of the total moment	0.0	Bohr magnetons per cell
SG	P4/mbm (127)
crystal system	tetragonal
distance to the lowest polymorph of the same formula	0.0	meV/atom